Record 1
A geometry-optimized DyYIr2 structure. Source: the Open Quantum Materials Database, functional PBE.

- crystal system = orthorhombic
- symmetry = No. 26
- formation enthalpy at 0 K (eV/atom) = -0.736

Cell and atoms, written as extended XYZ:
```
8
Lattice="4.263 0.000 0.000 0.000 5.592 0.000 0.000 0.000 7.298" Properties=species:S:1:pos:R:3 pbc="T T T"
Dy 0.000 3.531 1.290
Dy 0.000 2.061 4.939
Ir 0.000 0.667 0.270
Ir 2.132 3.447 3.375
Ir 0.000 4.925 3.920
Ir 2.132 2.145 7.024
Y 2.132 0.731 2.363
Y 2.132 4.861 6.012
```

***

Record 2
A geometry-optimized ZrSc2Al3NiAg2 structure. Source: the Open Quantum Materials Database, functional PBE.

- crystal system = orthorhombic
- symmetry = No. 38
- energy (eV per cell) = -47.69

Cell and atoms, written as extended XYZ:
```
9
Lattice="3.937 0.000 0.000 0.000 6.042 3.412 0.000 -6.042 3.412" Properties=species:S:1:pos:R:3 pbc="T T T"
Ag 1.968 2.060 3.415
Ag 1.968 -2.060 3.415
Al 1.968 1.381 0.802
Al 1.968 -1.381 0.802
Al 1.968 0.000 5.199
Ni 0.000 0.000 6.804
Sc 0.000 3.681 2.081
Sc 0.000 -3.681 2.081
Zr 0.000 0.000 2.695
```

***

Record 3
A geometry-optimized GaAu15 structure. Source: the Open Quantum Materials Database, functional PBE.

- crystal system = orthorhombic
- energy relative to the lowest polymorph listed for this composition (meV/atom) = 0
- symmetry = No. 49

Cell and atoms, written as extended XYZ:
```
64
Lattice="8.248 0.000 0.000 0.000 47.454 0.000 0.000 0.000 4.112" Properties=species:S:1:pos:R:3 pbc="T T T"
Au 7.216 1.062 0.000
Au 3.094 1.063 0.000
Au 1.031 3.183 0.000
Au 5.156 3.186 0.000
Au 3.091 5.309 0.000
Au 7.220 5.311 0.000
Au 5.155 7.430 0.000
Au 1.035 7.439 0.000
Au 7.206 9.551 0.000
Au 3.107 9.563 0.000
Au 1.052 11.652 0.000
Au 5.143 11.718 0.000
Au 7.214 13.748 0.000
Au 3.138 13.933 0.000
Au 1.021 15.931 0.000
Au 7.228 31.523 0.000
Au 5.110 33.521 0.000
Au 1.034 33.706 0.000
Au 3.105 35.736 0.000
Au 7.196 35.802 0.000
Au 5.141 37.892 0.000
Au 1.042 37.904 0.000
Au 7.213 40.016 0.000
Au 3.093 40.024 0.000
Au 1.028 42.143 0.000
Au 5.157 42.145 0.000
Au 3.092 44.268 0.000
Au 7.217 44.271 0.000
Au 5.154 46.391 0.000
Au 1.032 46.392 0.000
Au 1.032 1.062 2.056
Au 5.154 1.063 2.056
Au 7.217 3.183 2.056
Au 3.092 3.186 2.056
Au 5.157 5.309 2.056
Au 1.028 5.311 2.056
Au 3.093 7.430 2.056
Au 7.213 7.439 2.056
Au 1.042 9.551 2.056
Au 5.141 9.563 2.056
Au 7.196 11.652 2.056
Au 3.105 11.718 2.056
Au 1.034 13.748 2.056
Au 5.110 13.933 2.056
Au 7.228 15.931 2.056
Au 1.021 31.523 2.056
Au 3.138 33.521 2.056
Au 7.214 33.706 2.056
Au 5.143 35.736 2.056
Au 1.052 35.802 2.056
Au 3.107 37.892 2.056
Au 7.206 37.904 2.056
Au 1.035 40.016 2.056
Au 5.155 40.024 2.056
Au 7.220 42.143 2.056
Au 3.091 42.145 2.056
Au 5.156 44.268 2.056
Au 1.031 44.271 2.056
Au 3.094 46.391 2.056
Au 7.216 46.392 2.056
Ga 5.419 15.996 0.000
Ga 2.829 31.458 0.000
Ga 2.829 15.996 2.056
Ga 5.419 31.458 2.056
```

***

Record 4
A geometry-optimized BeZn2As structure. Source: the Open Quantum Materials Database, functional PBE.

- crystal system = cubic
- symmetry = No. 216
- energy (eV per cell) = -9.31

Cell and atoms, written as extended XYZ:
```
4
Lattice="0.000 3.128 3.128 3.128 0.000 3.128 3.128 3.128 0.000" Properties=species:S:1:pos:R:3 pbc="T T T"
As 3.128 3.128 3.128
Be 1.564 1.564 1.564
Zn 0.000 0.000 0.000
Zn 4.692 4.692 4.692
```